The following is a PBE calculation of an optimized crystal structure of Pm4CoNCl2, from Alexandria via LeMat-Bulk.

a = 3.702 Å, b = 6.837 Å, c = 7.620 Å
α = 108.06°, β = 90.00°, γ = 90.00°
Element x y z (fractional)
Pm 0.500 0.210 0.190
Pm 0.500 0.790 0.810
Pm 0.000 0.262 0.804
Pm 0.000 0.738 0.196
Co 0.500 0.500 0.000
N 0.000 0.000 0.000
Cl 0.500 0.000 0.500
Cl 0.000 0.500 0.500

Summary:
* volume: 183.3 Å³ per cell
* SG: P2/m (10)
* VASP energy: -5.897 eV/atom


The following is a PBE calculation of an optimized crystal structure of Ac2Sn3Pd6Pb, from Alexandria via LeMat-Bulk.

a = 4.286 Å, b = 4.286 Å, c = 17.115 Å
α = 90.00°, β = 90.00°, γ = 90.00°
Element x y z (fractional)
Ac 0.500 0.500 0.193
Ac 0.500 0.500 0.807
Sn 0.000 0.000 0.305
Sn 0.000 0.000 0.695
Sn 0.000 0.000 0.000
Pd 0.000 0.500 0.605
Pd 0.500 0.000 0.395
Pd 0.500 0.000 0.605
Pd 0.000 0.000 0.149
Pd 0.000 0.500 0.395
Pd 0.000 0.000 0.851
Pb 0.500 0.500 0.500

Summary:
* ΔH_f (0 K): -465 meV per atom
* volume: 314.4 Å³ per cell
* SG: P4/mmm (123)


The following is a PBE calculation of an optimized crystal structure of TlI2N2, from Alexandria via LeMat-Bulk.

a = 4.410 Å, b = 4.410 Å, c = 8.266 Å
α = 90.00°, β = 90.00°, γ = 90.00°
Each line ends with the local moment (μB).
Element x y z (fractional)
I 0.000 0.000 0.000  -0.04
I 0.000 0.000 0.500  0.00
Tl 0.500 0.500 0.500  0.00
N 0.000 0.500 0.000  0.53
N 0.500 0.000 0.000  0.53

Summary:
* volume: 160.8 Å³ per cell
* SG: P4/mmm (123)
* energy above the lowest structure with this stoichiometry: 1675 meV per atom


The following is a PBE calculation of an optimized crystal structure of PmSiCl, from Alexandria via LeMat-Bulk.

a = 4.078 Å, b = 4.078 Å, c = 11.018 Å
α = 88.51°, β = 88.51°, γ = 60.02°
Element x y z (fractional)
Pm 0.992 0.992 0.681
Pm 0.008 0.008 0.319
Si 0.666 0.666 0.508
Si 0.334 0.334 0.492
Cl 0.682 0.682 0.167
Cl 0.318 0.318 0.833

Summary:
* volume: 158.7 Å³ per cell
* SG: C2/m (12)
* VASP energy: -5.409 eV/atom


The following is a PBE calculation of an optimized crystal structure of Pr2DyGa3Rh4, from Alexandria via LeMat-Bulk.

a = 4.307 Å, b = 4.307 Å, c = 10.916 Å
α = 90.00°, β = 90.00°, γ = 90.00°
Element x y z (fractional)
Pr 0.500 0.000 0.223
Pr 0.000 0.500 0.777
Dy 0.500 0.500 0.500
Ga 0.000 0.000 0.500
Ga 0.500 0.000 0.884
Ga 0.000 0.500 0.116
Rh 0.500 0.500 0.000
Rh 0.000 0.000 0.000
Rh 0.500 0.000 0.653
Rh 0.000 0.500 0.347

Summary:
* ΔH_f (0 K): -780 meV per atom
* volume: 202.5 Å³ per cell
* SG: P-4m2 (115)


The following is a PBE calculation of an optimized crystal structure of CsDyHgSe3, from Alexandria via LeMat-Bulk.

a = 4.310 Å, b = 9.486 Å, c = 10.656 Å
α = 110.96°, β = 90.00°, γ = 90.00°
Element x y z (fractional)
Cs 0.250 0.225 0.250
Cs 0.750 0.775 0.750
Dy 0.250 0.670 0.134
Dy 0.750 0.330 0.866
Hg 0.250 0.087 0.618
Hg 0.750 0.913 0.382
Se 0.750 0.879 0.127
Se 0.250 0.121 0.873
Se 0.250 0.773 0.445
Se 0.750 0.227 0.555
Se 0.750 0.474 0.147
Se 0.250 0.526 0.853

Summary:
* volume: 406.8 Å³ per cell
* SG: P2_1/m (11)
* VASP energy: -3.917 eV/atom


The following is a PBE calculation of an optimized crystal structure of Ce7Al2Rh2, from Alexandria via LeMat-Bulk.

a = 6.720 Å, b = 6.677 Å, c = 6.720 Å
α = 90.00°, β = 107.06°, γ = 90.00°
Each line ends with the local moment (μB).
Element x y z (fractional)
Ce 0.000 0.285 0.500  0.40
Ce 0.500 0.715 0.000  0.40
Ce 0.000 0.715 0.500  0.40
Ce 0.500 0.285 0.000  0.40
Ce 0.000 0.000 0.000  0.87
Ce 0.500 0.708 0.500  0.13
Ce 0.500 0.292 0.500  0.13
Al 0.843 0.500 0.843  -0.01
Al 0.157 0.500 0.157  -0.01
Rh 0.710 0.000 0.290  -0.04
Rh 0.290 0.000 0.710  -0.04

Summary:
* ΔH_f (0 K): -269 meV per atom
* volume: 288.2 Å³ per cell
* SG: Cmmm (65)


The following is a PBE calculation of an optimized crystal structure of MgCd6Au12, from Alexandria via LeMat-Bulk.

a = 7.458 Å, b = 7.458 Å, c = 7.458 Å
α = 83.62°, β = 83.62°, γ = 83.62°
Element x y z (fractional)
Mg 0.000 0.000 0.000
Cd 0.732 0.821 0.415
Cd 0.585 0.268 0.179
Cd 0.179 0.585 0.268
Cd 0.268 0.179 0.585
Cd 0.415 0.732 0.821
Cd 0.821 0.415 0.732
Au 0.834 0.464 0.337
Au 0.337 0.834 0.464
Au 0.464 0.337 0.834
Au 0.166 0.536 0.663
Au 0.663 0.166 0.536
Au 0.536 0.663 0.166
Au 0.013 0.103 0.333
Au 0.897 0.667 0.987
Au 0.667 0.987 0.897
Au 0.987 0.897 0.667
Au 0.103 0.333 0.013
Au 0.333 0.013 0.103

Summary:
* ΔH_f (0 K): -102 meV per atom
* volume: 407.7 Å³ per cell
* SG: R-3 (148)


The following is a PBE calculation of an optimized crystal structure of Tb5Tm2Th3, from Alexandria via LeMat-Bulk.

a = 5.033 Å, b = 6.135 Å, c = 12.872 Å
α = 61.04°, β = 78.73°, γ = 65.78°
Element x y z (fractional)
Tb 0.000 0.000 0.000
Tb 0.199 0.001 0.600
Tb 0.801 0.999 0.400
Tb 0.699 0.501 0.101
Tb 0.301 0.499 0.899
Tm 0.402 0.993 0.202
Tm 0.598 0.007 0.798
Th 0.500 0.500 0.500
Th 0.099 0.503 0.299
Th 0.901 0.497 0.701

Summary:
* ΔH_f (0 K): 34 meV per atom
* volume: 317.1 Å³ per cell
* SG: C2/m (12)